[1]
Compound: Hf2PdW
Source: the Alexandria database
Functional: PBE
Structure: relaxed

Calculated values
- SG = No. 166
- total magnetic moment (μB/cell) = 0.00
- ΔH_f (0 K) (eV/atom) = 0.260
- DOS(E_F) (states/eV per atom) = 0.897

```
Hf2PdW
1.0
1.474 0.851 10.129
-1.474 0.851 10.129
0.000 -1.703 10.129
Hf Pd W
2 1 1
Cartesian
0.000 0.000 2.734 Hf
0.000 0.000 27.653 Hf
0.000 0.000 15.193 Pd
0.000 0.000 0.000 W
```

[2]
Compound: Hf2PdW
Source: the Alexandria database
Functional: PBE
Structure: relaxed

Calculated values
- SG = No. 123
- total magnetic moment (μB/cell) = 0.00
- ΔH_f (0 K) (eV/atom) = -0.379
- DOS(E_F) (states/eV per atom) = 0.553

```
Hf2PdW
1.0
3.323 0.000 0.000
0.000 3.323 0.000
0.000 0.000 6.671
Hf Pd W
2 1 1
Cartesian
0.000 0.000 1.608 Hf
0.000 0.000 5.063 Hf
1.662 1.662 3.336 Pd
1.662 1.662 0.000 W
```

[3]
Compound: YHfPd4
Source: the Alexandria database
Functional: PBE
Structure: relaxed

Calculated values
- SG = No. 62
- total magnetic moment (μB/cell) = 0.00
- ΔH_f (0 K) (eV/atom) = -0.729
- DOS(E_F) (states/eV per atom) = 0.572

```
YHfPd4
1.0
6.775 0.000 0.000
0.000 4.078 0.000
0.000 0.000 16.438
Y Hf Pd
4 4 16
Cartesian
1.211 1.019 3.454 Y
2.176 3.058 11.673 Y
4.599 1.019 4.765 Y
5.564 3.058 12.983 Y
1.304 3.058 7.805 Hf
2.084 1.019 16.024 Hf
4.691 3.058 0.413 Hf
5.471 1.019 8.632 Hf
0.279 3.058 15.476 Pd
0.433 1.019 6.226 Pd
0.920 1.019 13.542 Pd
1.485 1.019 9.668 Pd
1.903 3.058 1.449 Pd
2.467 3.058 5.323 Pd
2.954 3.058 14.445 Pd
3.109 1.019 7.257 Pd
3.666 3.058 9.180 Pd
3.821 1.019 1.993 Pd
4.308 1.019 11.115 Pd
4.872 1.019 14.989 Pd
5.290 3.058 6.770 Pd
5.855 3.058 2.896 Pd
6.342 3.058 10.212 Pd
6.496 1.019 0.961 Pd
```

[4]
Compound: Y2HfPd9
Source: the Alexandria database
Functional: PBE
Structure: relaxed

Calculated values
- SG = No. 123
- total magnetic moment (μB/cell) = 0.00
- ΔH_f (0 K) (eV/atom) = -0.866
- DOS(E_F) (states/eV per atom) = 0.585

```
Y2HfPd9
1.0
4.083 0.000 0.000
0.000 4.083 0.000
0.000 0.000 12.326
Y Hf Pd
2 1 9
Cartesian
0.000 0.000 2.088 Y
0.000 0.000 10.237 Y
0.000 0.000 6.163 Hf
0.000 2.042 0.000 Pd
0.000 2.042 4.231 Pd
0.000 2.042 8.095 Pd
2.042 0.000 0.000 Pd
2.042 0.000 4.231 Pd
2.042 0.000 8.095 Pd
2.042 2.042 2.116 Pd
2.042 2.042 6.163 Pd
2.042 2.042 10.210 Pd
```

[5]
Compound: Y2HfPd2
Source: the Alexandria database
Functional: PBE
Structure: relaxed

Calculated values
- SG = No. 127
- total magnetic moment (μB/cell) = 0.00
- energy above the most stable polymorph in this dataset (meV/atom) = 0.0
- ΔH_f (0 K) (eV/atom) = -0.616
- DOS(E_F) (states/eV per atom) = 0.599

```
Y2HfPd2
1.0
7.029 0.000 0.000
0.000 7.029 0.000
0.000 0.000 4.630
Y Hf Pd
4 2 4
Cartesian
1.204 2.311 0.000 Y
2.311 5.826 0.000 Y
4.719 1.204 0.000 Y
5.826 4.719 0.000 Y
0.000 0.000 2.315 Hf
3.515 3.515 2.315 Hf
0.977 4.491 2.315 Pd
2.538 0.977 2.315 Pd
4.491 6.053 2.315 Pd
6.053 2.538 2.315 Pd
```

[6]
Compound: Y2HfPd2
Source: the Alexandria database
Functional: PBE
Structure: relaxed

Calculated values
- SG = No. 127
- total magnetic moment (μB/cell) = 2.23
- energy above the most stable polymorph in this dataset (meV/atom) = 350.7
- ΔH_f (0 K) (eV/atom) = -0.266
- DOS(E_F) (states/eV per atom) = 1.395

```
Y2HfPd2
1.0
8.328 0.000 0.000
0.000 8.328 0.000
0.000 0.000 3.208
Y Hf Pd
4 2 4
Cartesian
1.215 2.949 0.000 Y
2.949 7.113 0.000 Y
5.378 1.215 0.000 Y
7.113 5.378 0.000 Y
0.000 0.000 0.000 Hf
4.164 4.164 0.000 Hf
1.293 5.457 1.604 Pd
2.871 1.293 1.604 Pd
5.457 7.035 1.604 Pd
7.035 2.871 1.604 Pd
```